i | Computed, not measured: a relaxed TbScAu crystal at the GGA-PBE level of DFT.

Output
space group	I4mm
D(E_F)	6.4	states/eV per cell
crystal system	tetragonal

Lattice parameters (Å, degrees): 3.4970 3.4970 11.8250 90.00 90.00 90.00
Last column: nearest neighbours and their distance in Å.
Sites, in units of the cell vectors:
Tb (0.0000, 0.0000, 0.0000)  4 Au 3.16, 5 Sc 3.46-3.49, 4 Tb 3.50
Tb (0.5000, 0.5000, 0.5000)  4 Au 3.16, 5 Sc 3.46-3.49, 4 Tb 3.50
Sc (0.0000, 0.0000, 0.2951)  4 Au 2.90
Sc (0.5000, 0.5000, 0.7951)  4 Au 2.90
Au (0.0000, 0.0000, 0.6663)  4 Sc 2.90, 4 Tb 3.16
Au (0.5000, 0.5000, 0.1663)  4 Sc 2.90, 4 Tb 3.16

ii | Computed, not measured: a relaxed TbScAu crystal at the GGA-PBE level of DFT.

Output
space group	P4/nmm
D(E_F)	9.6	states/eV per cell
crystal system	tetragonal

Lattice parameters (Å, degrees): 4.5691 4.5691 7.1099 90.00 90.00 90.00
Last column: nearest neighbours and their distance in Å.
Sites, in units of the cell vectors:
Tb (0.2500, 0.2500, 0.1330)  1 Au 2.85
Tb (0.7500, 0.7500, 0.8670)  1 Au 2.85
Sc (0.2500, 0.7500, 0.5000)  4 Au 2.82
Sc (0.7500, 0.2500, 0.5000)  4 Au 2.82
Au (0.2500, 0.2500, 0.7319)  4 Sc 2.82, 1 Tb 2.85
Au (0.7500, 0.7500, 0.2681)  4 Sc 2.82, 1 Tb 2.85

Most stable structure, least stable structure: ii, i.